--- a ---
# Ta2SiCl

Crystalline Ta2SiCl at its relaxed geometry (GGA-PBE, Alexandria via LeMat-Bulk).

Properties
For the density of states at the Fermi level, the calculation gives 2.669 states/eV/f.u.

a b c (Å): 2.9469 2.9469 8.4103
angles (deg): 90.00 90.00 112.01
With the nearest neighbours (Å) after each atom.
Fractional positions:
Ta  0.0000  0.0000  0.2345  2 Si 2.57, 2 Cl 2.78
Ta  0.0000  0.0000  0.7655  2 Si 2.57, 2 Cl 2.78
Si  0.5000  0.5000  0.0000  4 Ta 2.57
Cl  0.5000  0.5000  0.5000  4 Ta 2.78, 4 Cl 2.95

=====

--- b ---
# Ta2SiCl

Crystalline Ta2SiCl at its relaxed geometry (GGA-PBE, Alexandria via LeMat-Bulk).

Properties
For the density of states at the Fermi level, the calculation gives 1.722 states/eV/f.u.

a b c (Å): 2.8633 4.5795 5.2597
angles (deg): 90.00 105.66 90.00
With the nearest neighbours (Å) after each atom.
Fractional positions:
Ta  0.0000  0.0000  0.0000  2 Cl 2.44, 1 Si 2.63
Ta  0.3243  0.5000  0.6522  1 Cl 2.46
Si  0.7384  0.0000  0.4805  7 Ta 2.63-2.84, 2 Si 2.86
Cl  0.0841  0.5000  0.1671  3 Ta 2.44-2.46

=====

Of them, the most stable is b and the least stable is a.